#P
VASP calculation (PBE-GGA) on a geometry-optimized PmY2Ho structure.

The structure in extended XYZ format:
```
4
Lattice="3.6120 -0.4966 -0.2938 -0.9260 6.7084 0.0153 -1.8189 -3.1407 5.7178" Properties=species:S:1:pos:R:3 pbc="T T T"
Pm -1.0880 0.7806 5.3893
Y 0.2873 -0.9751 2.5165
Y 0.7970 2.5097 2.9178
Ho 2.1678 0.7143 0.0480
```

Space-group type = Cm (8)

#Q
VASP calculation (PBE-GGA) on a geometry-optimized PmY2Ho structure.

The structure in extended XYZ format:
```
4
Lattice="3.6026 0.0000 0.0000 1.8013 3.1200 0.0000 1.8013 1.0400 11.5742" Properties=species:S:1:pos:R:3 pbc="T T T"
Pm 3.6026 2.0800 5.7711
Y 1.8013 1.0400 8.7247
Y 1.8013 1.0400 2.8564
Ho 3.6026 2.0800 0.0091
```

Space-group type = R3m (160)

#R
VASP calculation (PBE-GGA) on a geometry-optimized PmY2Ho structure.

The structure in extended XYZ format:
```
4
Lattice="-1.2163 1.8459 -3.3690 -3.5156 0.8897 1.7566 3.1332 7.0200 2.7152" Properties=species:S:1:pos:R:3 pbc="T T T"
Y 2.3896 5.3541 2.0708
Y 0.7436 1.6660 0.6443
Ho -2.3659 1.3678 -0.8062
Pm -0.7993 4.8778 0.5514
```

Space-group type = P4/mmm (123)

#S
VASP calculation (PBE-GGA) on a geometry-optimized PmY2Ho structure.

The structure in extended XYZ format:
```
4
Lattice="-1.9695 0.2253 -4.6634 1.1044 -4.8865 -0.7025 -4.5283 -1.2894 1.8502" Properties=species:S:1:pos:R:3 pbc="T T T"
Y -2.2642 -0.6447 0.9251
Y 0.5522 -2.4433 -0.3512
Ho -2.6967 -2.9753 -1.7578
Pm -0.9848 0.1126 -2.3317
```

Space-group type = P4/mmm (123)

Of them, the most stable is #P and the least stable is #R.

#P
VASP calculation (PBE-GGA) on a geometry-optimized Pm7Y4Ho structure.

The structure in extended XYZ format:
```
12
Lattice="-3.8772 2.9064 -3.5909 -0.6314 -6.5467 -9.6819 -6.5233 -1.6213 0.6663" Properties=species:S:1:pos:R:3 pbc="T T T"
Pm -6.8999 -4.5527 -11.4293
Pm -4.1319 -0.7088 -1.1771
Pm -1.9270 -4.5958 -6.7040
Pm -9.1049 -0.6657 -5.9025
Pm -6.7101 -3.4352 -5.6649
Pm -1.9386 1.4532 -1.7954
Pm -4.3217 -1.8264 -6.9416
Y -5.8389 -0.3938 -4.1440
Y -5.1930 -4.8677 -8.4625
Y -8.6092 -3.5367 -8.7614
Y -2.4227 -1.7248 -3.8451
Ho 0.0000 0.0000 0.0000
```

Space-group type = C2/m (12)

#Q
VASP calculation (PBE-GGA) on a geometry-optimized Pm7Y4Ho structure.

The structure in extended XYZ format:
```
12
Lattice="-4.3898 -0.2573 -5.8146 -1.0874 -5.1433 -8.0858 -4.1692 -7.1720 3.4641" Properties=species:S:1:pos:R:3 pbc="T T T"
Pm -3.8440 -2.7620 -8.4100
Pm -5.8024 -9.8106 -2.0264
Pm -7.3433 -6.4605 -5.5874
Pm -2.3031 -6.1121 -4.8489
Pm -4.5932 -8.8449 -5.2755
Pm -2.1949 -0.1287 -2.9073
Pm -5.0532 -3.7277 -5.1609
Y -4.4955 -6.2296 -7.7585
Y -5.1509 -6.3430 -2.6779
Y -6.7883 -8.9668 -8.1853
Y -2.8581 -3.6058 -2.2510
Ho 0.0000 0.0000 0.0000
```

Space-group type = P-1 (2)

Of them, the most stable is #Q and the least stable is #P.

#P
VASP calculation (PBE-GGA) on a geometry-optimized PmY7Ho3 structure.

The structure in extended XYZ format:
```
11
Lattice="8.6082 0.0000 0.0000 0.0000 7.0915 0.0000 0.0000 -3.5457 6.1414" Properties=species:S:1:pos:R:3 pbc="T T T"
Pm 3.8579 0.0000 4.0943
Y 0.9955 -1.7596 5.1101
Y 0.9955 0.0000 2.0625
Y 1.0109 3.5457 2.0471
Y 3.8777 5.3073 1.0301
Y 3.8777 1.7841 1.0301
Y 3.8777 3.5457 4.0812
Y 0.9955 1.7596 5.1101
Ho 6.7465 1.7747 3.0697
Ho 6.7465 3.5457 0.0021
Ho 6.7465 5.3168 3.0697
```

Space-group type = P3m1 (156)

#Q
VASP calculation (PBE-GGA) on a geometry-optimized PmY7Ho3 structure.

The structure in extended XYZ format:
```
11
Lattice="4.7171 -0.1131 -2.9413 -0.9954 9.7305 -1.9694 -1.0908 -0.6950 8.7872" Properties=species:S:1:pos:R:3 pbc="T T T"
Pm 1.3155 4.4612 1.9383
Y 2.5228 7.3424 3.7620
Y 2.9281 6.5808 -0.8107
Y 2.6444 3.3030 -1.1398
Y -0.0135 5.6194 5.0163
Y 1.8131 -0.4041 2.9229
Y -0.2972 2.3417 4.6872
Y 0.1081 1.5800 0.1145
Ho -0.5338 9.1260 4.0506
Ho -0.4977 4.8653 -0.9847
Ho 3.1647 -0.2035 -0.1741
```

Space-group type = P2/m (10)

Of them, the most stable is #Q and the least stable is #P.